A geometry-optimized InSb structure. Source: Alexandria, functional PBE-GGA.

- SG = Cm, No. 8
- DOS at the Fermi energy (states/eV per atom) = 0.27
- formation energy (no corrections) (kcal/mol of atoms) = 0.15
- M_tot (μB/cell) = 0.00

Unit cell a=4.426 b=4.426 c=3.338 alpha=111.78 beta=111.78 gamma=87.09
Positions (direct):
In 0.000 0.000 0.000
Sb 0.500 0.500 0.998

=====

A geometry-optimized InSb2 structure. Source: Alexandria, functional PBE-GGA.

- SG = Cmm2, No. 35
- DOS at the Fermi energy (states/eV per atom) = 0.37
- formation energy (no corrections) (kcal/mol of atoms) = 1.32
- M_tot (μB/cell) = 0.00

Unit cell a=7.047 b=7.047 c=3.050 alpha=90.00 beta=90.00 gamma=143.77
Positions (direct):
In 0.000 0.000 0.000
Sb 0.331 0.669 0.005
Sb 0.669 0.331 0.005

=====

A geometry-optimized InSb structure. Source: Alexandria, functional PBE-GGA.

- SG = Pmm2, No. 25
- DOS at the Fermi energy (states/eV per atom) = 0.45
- formation energy (no corrections) (kcal/mol of atoms) = 1.47
- M_tot (μB/cell) = 0.00

Unit cell a=3.354 b=5.613 c=3.039 alpha=90.00 beta=90.00 gamma=90.00
Positions (direct):
In 0.000 0.000 0.000
Sb 0.500 0.500 0.003

=====

A geometry-optimized InSb3 structure. Source: Alexandria, functional PBE-GGA.

- offset from the most stable computed form (meV/atom) = 152.2
- SG = Immm, No. 71
- DOS at the Fermi energy (states/eV per atom) = 0.59
- formation energy (no corrections) (kcal/mol of atoms) = 3.28
- M_tot (μB/cell) = 0.00

Unit cell a=6.404 b=6.404 c=6.404 alpha=144.46 beta=132.07 gamma=61.07
Positions (direct):
In 0.000 0.000 0.000
Sb 0.277 0.777 0.500
Sb 0.500 0.500 0.000
Sb 0.723 0.223 0.500

=====

A geometry-optimized In7Sb6 structure. Source: Alexandria, functional PBE-GGA.

- SG = R-3m, No. 166
- DOS at the Fermi energy (states/eV per atom) = 0.44
- formation energy (no corrections) (kcal/mol of atoms) = 3.64
- M_tot (μB/cell) = 0.00

Unit cell a=11.587 b=11.587 c=11.587 alpha=32.42 beta=32.42 gamma=32.42
Positions (direct):
In 0.000 0.000 0.000
In 0.080 0.080 0.583
In 0.080 0.583 0.080
In 0.417 0.920 0.920
In 0.583 0.080 0.080
In 0.920 0.417 0.920
In 0.920 0.920 0.417
Sb 0.168 0.168 0.168
Sb 0.332 0.332 0.332
Sb 0.420 0.420 0.420
Sb 0.580 0.580 0.580
Sb 0.668 0.668 0.668
Sb 0.832 0.832 0.832

=====

A geometry-optimized In3Sb structure. Source: Alexandria, functional PBE-GGA.

- SG = Cmmm, No. 65
- DOS at the Fermi energy (states/eV per atom) = 0.43
- formation energy (no corrections) (kcal/mol of atoms) = 0.98
- M_tot (μB/cell) = 0.00

Unit cell a=3.294 b=3.294 c=10.347 alpha=90.00 beta=90.00 gamma=102.17
Positions (direct):
In 0.000 0.000 0.000
In 0.500 0.500 0.251
In 0.500 0.500 0.749
Sb 0.000 0.000 0.500

=====

A geometry-optimized InSb3 structure. Source: Alexandria, functional PBE-GGA.

- offset from the most stable computed form (meV/atom) = 201.7
- SG = Fm-3m, No. 225
- DOS at the Fermi energy (states/eV per atom) = 0.82
- formation energy (no corrections) (kcal/mol of atoms) = 4.42
- M_tot (μB/cell) = 0.00

Unit cell a=5.353 b=5.353 c=5.353 alpha=60.00 beta=60.00 gamma=60.00
Positions (direct):
In 0.000 0.000 0.000
Sb 0.250 0.250 0.250
Sb 0.500 0.500 0.500
Sb 0.750 0.750 0.750

=====

A geometry-optimized In3Sb structure. Source: Alexandria, functional PBE-GGA.

- SG = Immm, No. 71
- DOS at the Fermi energy (states/eV per atom) = 0.54
- formation energy (no corrections) (kcal/mol of atoms) = 1.11
- M_tot (μB/cell) = 0.00

Unit cell a=6.603 b=6.603 c=6.603 alpha=149.26 beta=129.94 gamma=59.90
Positions (direct):
In 0.000 0.000 0.000
In 0.260 0.760 0.500
In 0.740 0.240 0.500
Sb 0.500 0.500 0.000

=====

A geometry-optimized InSb5 structure. Source: Alexandria, functional PBE-GGA.

- offset from the most stable computed form (meV/atom) = 0.0
- SG = Cm, No. 8
- DOS at the Fermi energy (states/eV per atom) = 0.47
- formation energy (no corrections) (kcal/mol of atoms) = 3.80
- M_tot (μB/cell) = 0.00

Unit cell a=6.431 b=6.431 c=7.647 alpha=106.39 beta=106.39 gamma=34.97
Positions (direct):
In 0.000 0.000 0.000
Sb 0.311 0.311 0.685
Sb 0.326 0.326 0.194
Sb 0.671 0.671 0.377
Sb 0.693 0.693 0.878
Sb 0.993 0.993 0.462

=====

A geometry-optimized In5Sb3 structure. Source: Alexandria, functional PBE-GGA.

- offset from the most stable computed form (meV/atom) = 50.5
- SG = Cmmm, No. 65
- DOS at the Fermi energy (states/eV per atom) = 0.48
- formation energy (no corrections) (kcal/mol of atoms) = 1.50
- M_tot (μB/cell) = 0.00

Unit cell a=7.307 b=7.307 c=4.183 alpha=90.00 beta=90.00 gamma=91.34
Positions (direct):
In 0.000 0.000 0.000
In 0.000 0.500 0.000
In 0.249 0.751 0.500
In 0.500 0.000 0.000
In 0.751 0.249 0.500
Sb 0.265 0.265 0.500
Sb 0.500 0.500 0.000
Sb 0.735 0.735 0.500

=====

A geometry-optimized InSb5 structure. Source: Alexandria, functional PBE-GGA.

- offset from the most stable computed form (meV/atom) = 46.6
- SG = P-62m, No. 189
- DOS at the Fermi energy (states/eV per atom) = 0.61
- formation energy (no corrections) (kcal/mol of atoms) = 4.87
- M_tot (μB/cell) = 0.00

Unit cell a=5.817 b=5.817 c=5.623 alpha=90.00 beta=90.00 gamma=120.00
Positions (direct):
In 0.000 0.000 0.000
Sb 0.000 0.681 0.500
Sb 0.319 0.319 0.500
Sb 0.333 0.667 0.000
Sb 0.667 0.333 0.000
Sb 0.681 0.000 0.500

=====

A geometry-optimized InSb structure. Source: Alexandria, functional PBE-GGA.

- SG = P-6m2, No. 187
- DOS at the Fermi energy (states/eV per atom) = 0.46
- formation energy (no corrections) (kcal/mol of atoms) = 2.47
- M_tot (μB/cell) = 0.00

Unit cell a=3.337 b=3.337 c=5.750 alpha=90.00 beta=90.00 gamma=120.00
Positions (direct):
In 0.000 0.000 0.000
Sb 0.667 0.333 0.500